A relaxed TcNi2Mo crystal, computed with GGA-PBE.

Cell lengths 4.203, 4.203, 4.203 Å; angles 60.00, 60.00, 60.00 degrees
Fractional coordinates of all 4 atoms:
Tc1 0.000 0.000 0.000
Ni1 0.250 0.250 0.250
Ni2 0.750 0.750 0.750
Mo1 0.500 0.500 0.500

Summary:
**E above lowest polymorph**: 314 meV/atom
**Energy**: -31.69 eV per cell
**Space-group type**: No. 225
**Crystal system**: cubic
**E_form**: 0.27 eV per atom

=====

A relaxed TcNi2Mo crystal, computed with GGA-PBE.

Cell lengths 2.594, 2.594, 7.742 Å; angles 90.00, 90.00, 90.00 degrees
Fractional coordinates of all 4 atoms:
Tc1 0.000 0.000 0.000
Ni1 0.500 0.500 0.245
Ni2 0.500 0.500 0.755
Mo1 0.000 0.000 0.500

Summary:
**E above lowest polymorph**: 81 meV/atom
**Energy**: -32.62 eV per cell
**Space-group type**: No. 123
**Crystal system**: tetragonal
**E_form**: 0.04 eV per atom

=====

A relaxed TcNiMo2 crystal, computed with GGA-PBE.

Cell lengths 4.670, 4.670, 4.670 Å; angles 130.67, 130.67, 72.33 degrees
Fractional coordinates of all 4 atoms:
Tc1 0.000 0.000 0.000
Ni1 0.500 0.500 0.000
Mo1 0.250 0.750 0.500
Mo2 0.750 0.250 0.500

Summary:
**E above lowest polymorph**: 25 meV/atom
**Energy**: -37.68 eV per cell
**Space-group type**: No. 139
**Crystal system**: tetragonal
**E_form**: 0.03 eV per atom

=====

A relaxed TcNiMo2 crystal, computed with GGA-PBE.

Cell lengths 9.059, 9.059, 9.059 Å; angles 17.39, 17.39, 17.39 degrees
Fractional coordinates of all 4 atoms:
Tc1 0.000 0.000 0.000
Ni1 0.500 0.500 0.500
Mo1 0.248 0.248 0.248
Mo2 0.752 0.752 0.752

Summary:
**E above lowest polymorph**: 188 meV/atom
**Energy**: -37.03 eV per cell
**Space-group type**: No. 166
**Crystal system**: trigonal
**E_form**: 0.19 eV per atom

=====

A relaxed TcNi4Mo crystal, computed with GGA-PBE.

Cell lengths 4.504, 5.686, 6.376 Å; angles 109.67, 90.73, 104.55 degrees
Fractional coordinates of all 12 atoms:
Tc1 0.208 0.379 0.455
Tc2 0.792 0.621 0.545
Ni1 0.129 0.637 0.877
Ni2 0.294 0.127 0.041
Ni3 0.384 0.892 0.630
Ni4 0.455 0.619 0.199
Ni5 0.545 0.381 0.801
Ni6 0.616 0.108 0.370
Ni7 0.706 0.873 0.959
Ni8 0.871 0.363 0.123
Mo1 0.037 0.856 0.276
Mo2 0.963 0.144 0.724

Summary:
**E above lowest polymorph**: 2 meV/atom
**Energy**: -88.66 eV per cell
**Space-group type**: No. 2
**Crystal system**: triclinic
**E_form**: 0.00 eV per atom

=====

A relaxed Tc2NiMo crystal, computed with GGA-PBE.

Cell lengths 4.633, 4.633, 4.663 Å; angles 100.02, 100.02, 34.98 degrees
Fractional coordinates of all 4 atoms:
Tc1 0.243 0.243 0.234
Tc2 0.757 0.757 0.766
Ni1 0.500 0.500 0.000
Mo1 0.000 0.000 0.500

Summary:
**E above lowest polymorph**: 115 meV/atom
**Energy**: -36.95 eV per cell
**Space-group type**: No. 12
**Crystal system**: monoclinic
**E_form**: 0.10 eV per atom

=====

Repeat the first record exactly.
A relaxed TcNi2Mo crystal, computed with GGA-PBE.

Cell lengths 4.203, 4.203, 4.203 Å; angles 60.00, 60.00, 60.00 degrees
Fractional coordinates of all 4 atoms:
Tc1 0.000 0.000 0.000
Ni1 0.250 0.250 0.250
Ni2 0.750 0.750 0.750
Mo1 0.500 0.500 0.500

Summary:
**E above lowest polymorph**: 314 meV/atom
**Energy**: -31.69 eV per cell
**Space-group type**: No. 225
**Crystal system**: cubic
**E_form**: 0.27 eV per atom